# HgP2Ir, optimized geometry, DFT PBE
# - Crystal system: tetragonal
# - Fermi-level density of states: 0.156 states/eV per atom
# - Volume: 20.15 Å³ per atom
# - Theoretical density: 9.4 Mg/m³
# - Formation enthalpy at 0 K: 0.1754 eV/atom
# - E: -4.82 eV/atom
data_HgP2Ir
_cell_length_a 3.1769
_cell_length_b 3.1769
_cell_length_c 7.9854
_cell_angle_alpha 90.00
_cell_angle_beta 90.00
_cell_angle_gamma 90.00
_space_group_name_H-M_alt 'P 4/m m m'
_space_group_IT_number 123
_space_group_name_Hall '-P 4 2'
loop_
_atom_site_label
_atom_site_type_symbol
_atom_site_fract_x
_atom_site_fract_y
_atom_site_fract_z
Hg1 Hg 0.0000 0.0000 0.0000
P1 P 0.5000 0.5000 0.3521
Ir1 Ir 0.0000 0.0000 0.5000